The following is a DFT calculation (PBE) of VGaPdRh after structural relaxation.

Cell: 4.341 4.341 4.341 Å, 60.00 60.00 60.00°
Sites, in units of the cell vectors:
Rh: 0.000 0.000 0.000
Ga: 0.750 0.750 0.750
Pd: 0.500 0.500 0.500
V: 0.250 0.250 0.250

**Total magnetic moment**: 1.875 Bohr magnetons per cell
**Energy**: -6.559 eV/atom
**Formation energy from the elements**: -37.33 kJ per mole of atoms